A plane-wave DFT calculation with PBE was carried out for a relaxed structure of HfPt3O.

Lattice parameters (Å, degrees): 4.312 4.312 4.312 90.00 90.00 90.00
Space group Pm-3m (No. 221)
Asymmetric unit:
Hf1 0.000 0.000 0.000 x1
Pt1 0.000 0.500 0.500 x3
O1 0.500 0.500 0.500 x1

Calculated values
Formation energy (no corrections) ... -90 meV/atom
E above lowest polymorph ... 0.000 eV per atom


A plane-wave DFT calculation with PBE was carried out for a relaxed structure of Hf3PtO.

Lattice parameters (Å, degrees): 4.363 4.363 4.363 90.00 90.00 90.00
Space group Pm-3m (No. 221)
Asymmetric unit:
Hf1 0.000 0.000 0.500 x3
Pt1 0.500 0.500 0.500 x1
O1 0.000 0.000 0.000 x1

Calculated values
Formation energy (no corrections) ... -1353 meV/atom


A plane-wave DFT calculation with PBE was carried out for a relaxed structure of Hf4PtO.

Lattice parameters (Å, degrees): 7.014 14.301 5.473 90.00 122.90 90.00
Space group C2/c (No. 15)
Asymmetric unit:
Hf1 0.188 0.221 0.201 x8
Hf2 0.241 0.062 0.682 x8
Pt1 0.000 0.400 0.750 x4
O1 0.000 0.004 0.250 x4

Calculated values
Formation energy (no corrections) ... -1053 meV/atom


A plane-wave DFT calculation with PBE was carried out for a relaxed structure of HfPt3O.

Lattice parameters (Å, degrees): 4.926 4.926 4.926 90.00 90.00 90.00
Space group Pm-3m (No. 221)
Asymmetric unit:
Hf1 0.000 0.000 0.000 x1
Pt1 0.000 0.000 0.500 x3
O1 0.500 0.500 0.500 x1

Calculated values
Formation energy (no corrections) ... 1374 meV/atom
E above lowest polymorph ... 1.464 eV per atom


Copy entry 4 word for word.
A plane-wave DFT calculation with PBE was carried out for a relaxed structure of HfPt3O.

Lattice parameters (Å, degrees): 4.926 4.926 4.926 90.00 90.00 90.00
Space group Pm-3m (No. 221)
Asymmetric unit:
Hf1 0.000 0.000 0.000 x1
Pt1 0.000 0.000 0.500 x3
O1 0.500 0.500 0.500 x1

Calculated values
Formation energy (no corrections) ... 1374 meV/atom
E above lowest polymorph ... 1.464 eV per atom